A plane-wave DFT calculation with PBE was carried out for crystalline Dy4Tm2Th3 at its relaxed geometry.

The structure in CIF format:
```
data_Dy4Tm2Th3
_cell_length_a 3.5442
_cell_length_b 3.5442
_cell_length_c 26.3625
_cell_angle_alpha 90.00
_cell_angle_beta 90.00
_cell_angle_gamma 120.00
_space_group_name_H-M_alt 'P 3 m 1'
_space_group_IT_number 156
loop_
_space_group_symop_operation_xyz
'x,y,z'
'-y,x-y,z'
'-x+y,-x,z'
'-y,-x,z'
'-x+y,y,z'
'x,x-y,z'
loop_
_atom_site_label
_atom_site_fract_x
_atom_site_fract_y
_atom_site_fract_z
Dy1 0.0000 0.0000 0.0000
Dy2 0.0000 0.0000 0.2195
Dy3 0.3333 0.6667 0.3284
Dy4 0.3333 0.6667 0.5502
Tm1 0.0000 0.0000 0.6571
Tm2 0.0000 0.0000 0.8749
Th1 0.0000 0.0000 0.4391
Th2 0.3333 0.6667 0.1074
Th3 0.3333 0.6667 0.7685
```

Output
V, Å³ per cell: 286.8
Energy of formation, eV per atom: 0.083
DOS at the Fermi energy, states/eV/f.u.: 18.2